# 1
Here is a geometry-optimized Cr2CdAs2 structure from the Alexandria database. Energies are from PBE-GGA.

Results
Its space group is P4/mbm. The calculated formation energy comes out at 13 kJ per mole of atoms. The crystal system is tetragonal. Its raw total energy is -0.212 hartree per atom.

```
Cr2CdAs2
1.0
-3.544 -1.295 -6.091
4.157 -5.711 -1.204
-2.050 -1.825 1.580
As Cr Cd
4 4 2
Cartesian
-1.624 -2.232 -1.511 As
1.147 -4.835 -0.923 As
0.188 -6.598 -4.204 As
-2.583 -3.996 -4.793 As
-1.690 -1.585 -4.022 Cr
2.303 -5.420 -3.273 Cr
-0.434 -4.741 -6.039 Cr
1.047 -2.264 -1.256 Cr
0.000 0.000 0.000 Cd
0.307 -3.503 -3.648 Cd
```

=====

# 2
Here is a geometry-optimized Rb2P2Pt structure from the Alexandria database. Energies are from PBE-GGA.

Results
Its space group is C2/m. The calculated formation energy comes out at -45 kJ per mole of atoms. The crystal system is monoclinic. Its raw total energy is -0.155 hartree per atom.

```
Rb2P2Pt
1.0
-2.708 7.693 -3.105
-1.427 -8.333 -2.161
-4.677 6.063 2.935
P Pt Rb
4 2 4
Cartesian
-3.667 2.826 -0.225 P
-6.006 5.857 1.242 P
-5.145 2.597 -2.107 P
-2.806 -0.434 -3.574 P
-3.236 1.196 -1.899 Pt
-5.576 4.227 -0.432 Pt
-2.581 4.905 -2.866 Rb
-6.231 0.518 0.534 Rb
-4.920 7.936 -1.398 Rb
-3.892 -2.514 -0.934 Rb
```

=====

# 3
Here is a geometry-optimized ScNb2CoS structure from the Alexandria database. Energies are from PBE-GGA.

Results
Its space group is P4/mmm. The crystal system is tetragonal. Its raw total energy is -0.281 hartree per atom. Its uncorrected formation energy is -102 meV per atom.

```
ScNb2CoS
1.0
-4.138 1.116 -1.811
0.999 -1.962 -3.492
-1.804 -3.939 1.697
Nb Sc Co S
2 1 1 1
Cartesian
-2.069 0.558 -0.906 Nb
-0.902 -1.970 0.848 Nb
-2.472 -2.393 -1.803 Sc
0.500 -0.981 -1.746 Co
0.000 0.000 0.000 S
```

=====

# 4
Here is a geometry-optimized LiPaAu2 structure from the Alexandria database. Energies are from PBE-GGA.

Results
As for the excess energy over the best structure of this formula in the dataset: 0.0 meV/atom. Its space group is P4/mmm. The calculated formation energy comes out at -39 kJ per mole of atoms. The crystal system is tetragonal. Its raw total energy is -0.180 hartree per atom.

```
LiPaAu2
1.0
3.255 0.000 0.000
0.000 3.255 0.000
0.000 0.000 7.149
Li Au Pa
1 2 1
Cartesian
1.628 1.628 0.000 Li
0.000 0.000 5.668 Au
0.000 0.000 1.481 Au
1.628 1.628 3.575 Pa
```

=====

# 5
Here is a geometry-optimized Nb4SiGe structure from the Alexandria database. Energies are from PBE-GGA.

Results
As for the excess energy over the best structure of this formula in the dataset: 0.0 meV/atom. Its space group is P4/mcc. The crystal system is tetragonal. Its raw total energy is -0.326 hartree per atom. Its uncorrected formation energy is -497 meV per atom.

```
Nb4SiGe
1.0
-4.343 -0.874 -2.795
-1.362 -4.861 3.637
-3.200 3.742 3.803
Nb Si Ge
8 2 2
Cartesian
-3.599 -2.998 1.622 Nb
-5.404 -2.032 4.125 Nb
-3.501 0.040 0.520 Nb
-1.004 -1.049 1.888 Nb
-5.306 1.006 3.023 Nb
-2.325 1.641 3.101 Nb
-3.558 -0.069 5.552 Nb
-2.237 -2.760 4.339 Nb
-3.367 -0.778 3.021 Si
-5.538 -1.215 1.624 Si
-3.257 -0.655 -2.096 Ge
-1.086 -0.218 -0.699 Ge
```

=====

# 6
Here is a geometry-optimized BeCuRu3 structure from the Alexandria database. Energies are from PBE-GGA.

Results
As for the excess energy over the best structure of this formula in the dataset: 1160.1 meV/atom. Its space group is Pm-3m. The calculated formation energy comes out at 182 kJ per mole of atoms. The crystal system is cubic. Its raw total energy is -0.193 hartree per atom.

```
BeCuRu3
1.0
-2.297 -3.221 -2.002
3.791 -1.889 -1.310
0.099 -2.391 3.733
Cu Ru Be
1 3 1
Cartesian
0.000 0.000 0.000 Cu
0.049 -1.195 1.866 Ru
1.896 -0.944 -0.655 Ru
-1.148 -1.610 -1.001 Ru
0.797 -3.750 0.210 Be
```

=====

# 7
Here is a geometry-optimized Y2HfRuPb structure from the Alexandria database. Energies are from PBE-GGA.

Results
Its space group is P4/mmm. The calculated formation energy comes out at -1 kJ per mole of atoms. The crystal system is tetragonal. Its raw total energy is -0.264 hartree per atom.

```
Y2HfRuPb
1.0
-5.127 -0.947 -1.851
0.873 -5.137 0.211
-1.861 -0.102 5.209
Pb Ru Y Hf
1 1 2 1
Cartesian
-3.057 -3.093 1.785 Pb
0.000 0.000 0.000 Ru
-0.931 -0.051 2.604 Y
-2.563 -0.474 -0.925 Y
0.437 -2.569 0.106 Hf
```

=====

# 8
Here is a geometry-optimized Ho2ZnFeC structure from the Alexandria database. Energies are from PBE-GGA.

Results
Its space group is P4/mmm. The calculated formation energy comes out at -34 kJ per mole of atoms. The crystal system is tetragonal. Its raw total energy is -0.219 hartree per atom.

```
Ho2ZnFeC
1.0
3.663 0.000 0.000
0.000 4.927 0.000
0.000 0.000 4.927
Ho Zn C Fe
2 1 1 1
Cartesian
0.000 2.463 0.000 Ho
0.000 0.000 2.463 Ho
1.832 2.463 2.463 Zn
0.000 0.000 0.000 C
1.832 0.000 0.000 Fe
```

=====

# 9
Here is a geometry-optimized ScGa2HgB structure from the Alexandria database. Energies are from PBE-GGA.

Results
Its space group is P4/mmm. The calculated formation energy comes out at 36 kJ per mole of atoms. The crystal system is tetragonal. Its raw total energy is -0.129 hartree per atom.

```
ScGa2HgB
1.0
4.352 0.000 0.000
0.000 4.905 0.000
0.000 0.000 4.352
Ga Sc B Hg
2 1 1 1
Cartesian
0.000 0.000 2.176 Ga
2.176 0.000 0.000 Ga
2.176 2.452 2.176 Sc
0.000 0.000 0.000 B
0.000 2.452 0.000 Hg
```

=====

# 10
Here is a geometry-optimized Ac12Pr2Sn5 structure from the Alexandria database. Energies are from PBE-GGA.

Results
Its space group is C2/m. The calculated formation energy comes out at -19 kJ per mole of atoms. The crystal system is monoclinic. Its raw total energy is -0.160 hartree per atom.

```
Ac12Pr2Sn5
1.0
-5.648 -3.334 -5.534
9.157 1.557 -3.630
2.261 -9.537 3.438
Ac Sn Pr
12 5 2
Cartesian
2.117 -7.830 2.557 Ac
-1.672 -3.865 -6.076 Ac
-1.088 -8.191 -3.925 Ac
-1.767 -4.673 -2.035 Ac
6.858 -3.123 -1.801 Ac
4.043 -4.785 -4.559 Ac
7.442 -7.448 0.350 Ac
3.653 -3.483 -8.283 Ac
7.537 -6.641 -3.691 Ac
1.263 -2.132 -3.200 Ac
1.727 -6.529 -1.166 Ac
4.507 -9.181 -2.526 Ac
4.708 -1.341 -3.997 Sn
1.130 -4.768 1.719 Sn
5.013 -5.948 -1.532 Sn
1.062 -9.973 -1.729 Sn
0.757 -5.366 -4.193 Sn
-1.860 -1.098 -1.823 Pr
-3.788 -2.236 -3.712 Pr
```

=====

# 11
Here is a geometry-optimized HfPaS4 structure from the Alexandria database. Energies are from PBE-GGA.

Results
As for the excess energy over the best structure of this formula in the dataset: 93.6 meV/atom. Its space group is Cmmm. The crystal system is orthorhombic. Its raw total energy is -0.274 hartree per atom. Its uncorrected formation energy is -1453 meV per atom.

```
HfPaS4
1.0
3.819 0.000 0.000
0.000 6.286 0.042
0.000 -0.081 6.285
Pa Hf S
1 1 4
Cartesian
0.000 3.102 3.164 Pa
1.910 0.000 0.000 Hf
1.910 4.441 1.851 S
0.000 5.022 5.122 S
1.910 1.764 4.476 S
0.000 1.183 1.206 S
```

=====

# 12
Here is a geometry-optimized SmY7Th3 structure from the Alexandria database. Energies are from PBE-GGA.

Results
As for the excess energy over the best structure of this formula in the dataset: 45.1 meV/atom. Its space group is P-1. The calculated formation energy comes out at 25 kJ per mole of atoms. The crystal system is triclinic. Its raw total energy is -0.232 hartree per atom.

```
SmY7Th3
1.0
6.316 0.045 -0.579
-0.629 7.678 0.401
0.103 0.635 7.668
Y Sm Th
7 1 3
Cartesian
1.177 1.937 1.754 Y
1.130 7.465 4.645 Y
4.409 3.326 0.324 Y
4.614 6.420 5.735 Y
-0.263 4.156 4.034 Y
4.661 0.892 2.844 Y
1.381 5.031 7.165 Y
2.895 4.179 3.745 Sm
-0.020 1.863 6.399 Th
5.811 6.494 1.090 Th
3.158 0.022 -0.290 Th
```

=====

# 13
Here is a geometry-optimized DyPd4Au7 structure from the Alexandria database. Energies are from PBE-GGA.

Results
As for the excess energy over the best structure of this formula in the dataset: 240.9 meV/atom. Its space group is C2/m. The calculated formation energy comes out at -7 kJ per mole of atoms. The crystal system is monoclinic. Its raw total energy is -0.151 hartree per atom.

```
DyPd4Au7
1.0
-3.443 1.142 3.622
-2.292 -7.386 3.777
2.378 1.040 5.560
Au Pd Dy
7 4 1
Cartesian
-3.568 -5.259 9.148 Au
-1.721 0.571 1.811 Au
-1.200 -4.502 3.906 Au
-0.730 -2.943 7.489 Au
0.211 0.055 3.811 Au
-2.627 -2.261 5.470 Au
-2.157 -0.701 9.053 Au
-1.458 -1.959 2.859 Pd
-2.380 -4.846 6.521 Pd
-0.977 -0.357 6.438 Pd
-1.899 -3.245 10.100 Pd
0.000 0.000 0.000 Dy
```

=====

# 14
Here is a geometry-optimized CrSb2Au2 structure from the Alexandria database. Energies are from PBE-GGA.

Results
As for the excess energy over the best structure of this formula in the dataset: 94.1 meV/atom. Its space group is I4/mmm. The crystal system is tetragonal. Its raw total energy is -0.160 hartree per atom. Its uncorrected formation energy is 529 meV per atom.

```
CrSb2Au2
1.0
3.682 0.000 0.000
0.000 3.682 0.000
1.841 1.841 8.102
Sb Au Cr
2 2 1
Cartesian
1.841 1.841 1.488 Sb
3.682 3.682 6.615 Sb
3.682 1.841 4.051 Au
1.841 3.682 4.051 Au
0.000 0.000 0.000 Cr
```

=====

# 15
Here is a geometry-optimized Nd4Zn2Pd structure from the Alexandria database. Energies are from PBE-GGA.

Results
Its space group is I4/mmm. The calculated formation energy comes out at -29 kJ per mole of atoms. The crystal system is tetragonal. Its raw total energy is -0.152 hartree per atom.

```
Nd4Zn2Pd
1.0
-0.536 5.745 -2.523
-5.343 -3.213 -0.882
1.101 0.489 6.181
Nd Zn Pd
4 2 1
Cartesian
-2.671 -1.607 -0.441 Nd
-2.389 1.510 1.388 Nd
0.550 0.244 3.090 Nd
-0.268 2.872 -1.261 Nd
-2.939 1.266 -1.702 Zn
0.283 3.117 1.829 Zn
0.000 0.000 0.000 Pd
```

=====

# 16
Here is a geometry-optimized V2RuBr structure from the Alexandria database. Energies are from PBE-GGA.

Results
As for the excess energy over the best structure of this formula in the dataset: 0.0 meV/atom. Its space group is Fm-3m. The crystal system is cubic. Its raw total energy is -0.246 hartree per atom. Its uncorrected formation energy is 601 meV per atom.

```
V2RuBr
1.0
0.000 3.092 3.092
3.092 0.000 3.092
3.092 3.092 0.000
V Br Ru
2 1 1
Cartesian
1.546 1.546 1.546 V
4.638 4.638 4.638 V
0.000 0.000 0.000 Br
3.092 3.092 3.092 Ru
```

=====

# 17
Here is a geometry-optimized Sr2AlPb2 structure from the Alexandria database. Energies are from PBE-GGA.

Results
As for the excess energy over the best structure of this formula in the dataset: 268.3 meV/atom. Its space group is P4/mbm. The calculated formation energy comes out at -6 kJ per mole of atoms. The crystal system is tetragonal. Its raw total energy is -0.109 hartree per atom.

```
Sr2AlPb2
1.0
9.118 0.000 0.000
0.000 9.118 0.000
0.000 0.000 4.317
Sr Pb Al
4 4 2
Cartesian
7.507 6.170 0.000 Sr
2.948 7.507 0.000 Sr
1.611 2.948 0.000 Sr
6.170 1.611 0.000 Sr
3.439 1.120 2.159 Pb
7.998 3.439 2.159 Pb
1.120 5.680 2.159 Pb
5.680 7.998 2.159 Pb
0.000 0.000 0.000 Al
4.559 4.559 0.000 Al
```

=====

# 18
Here is a geometry-optimized KCd2Au structure from the Alexandria database. Energies are from PBE-GGA.

Results
Its space group is C2/m. The calculated formation energy comes out at -12 kJ per mole of atoms. The crystal system is monoclinic. Its raw total energy is -0.062 hartree per atom.

```
KCd2Au
1.0
6.563 0.072 -0.019
5.660 3.322 -0.019
2.394 0.665 4.983
Cd K Au
2 1 1
Cartesian
7.731 2.147 2.250 Cd
11.801 3.277 0.183 Cd
10.963 3.044 3.708 K
3.654 1.015 1.236 Au
```

=====

# 19
Here is a geometry-optimized Sm2SiBr3 structure from the Alexandria database. Energies are from PBE-GGA.

Results
Its space group is C2/m. The crystal system is monoclinic. Its raw total energy is -0.171 hartree per atom. Its uncorrected formation energy is -1347 meV per atom.

```
Sm2SiBr3
1.0
4.142 0.000 0.000
2.071 9.549 -0.429
2.071 1.971 9.965
Sm Br Si
4 6 2
Cartesian
4.142 3.159 5.475 Sm
6.213 5.794 7.948 Sm
2.071 5.726 1.588 Sm
4.142 8.361 4.061 Sm
6.213 8.665 1.922 Br
2.071 1.992 3.755 Br
2.071 2.855 7.614 Br
6.213 8.372 9.442 Br
6.213 9.528 5.781 Br
2.071 3.148 0.094 Br
4.142 5.543 3.621 Si
4.142 5.977 5.915 Si
```

=====

# 20
Here is a geometry-optimized VZn2Cd structure from the Alexandria database. Energies are from PBE-GGA.

Results
Its space group is R-3m. The calculated formation energy comes out at 44 kJ per mole of atoms. The crystal system is trigonal. Its raw total energy is -0.099 hartree per atom.

```
VZn2Cd
1.0
-2.689 0.664 -0.395
-1.581 -1.534 -1.725
-4.051 -6.308 7.055
V Cd Zn
1 1 2
Cartesian
0.000 0.000 0.000 V
-4.160 -3.589 2.468 Cd
-3.391 -4.796 5.104 Zn
-4.930 -2.382 -0.169 Zn
```

=====

# 21
Here is a geometry-optimized Al2CuW structure from the Alexandria database. Energies are from PBE-GGA.

Results
As for the excess energy over the best structure of this formula in the dataset: 484.4 meV/atom. Its space group is I-42d. The calculated formation energy comes out at 38 kJ per mole of atoms. The crystal system is tetragonal. Its raw total energy is -0.211 hartree per atom.

```
Al2CuW
1.0
-6.031 2.178 -2.185
-2.531 -6.237 0.769
-4.981 -1.434 1.818
Cu Al W
2 4 2
Cartesian
-4.281 -2.029 -0.708 Cu
-5.896 -4.850 0.939 Cu
-3.789 -3.909 0.587 Al
-11.140 -4.412 0.098 Al
-7.034 -2.813 0.859 Al
-5.123 0.148 -0.740 Al
-7.646 -0.643 -0.538 W
0.000 0.000 0.000 W
```

=====

# 22
Here is a geometry-optimized Be2CuRu structure from the Alexandria database. Energies are from PBE-GGA.

Results
As for the excess energy over the best structure of this formula in the dataset: 208.5 meV/atom. Its space group is Cm. The calculated formation energy comes out at -9 kJ per mole of atoms. The crystal system is monoclinic. Its raw total energy is -0.195 hartree per atom.

```
Be2CuRu
1.0
4.467 0.054 -0.023
3.711 2.486 -0.023
1.210 0.376 3.886
Ru Cu Be
1 1 2
Cartesian
7.016 2.179 3.118 Ru
4.738 1.472 1.669 Cu
9.216 2.863 3.672 Be
2.500 0.777 1.141 Be
```

=====

# 23
Here is a geometry-optimized NdSm3Bi2 structure from the Alexandria database. Energies are from PBE-GGA.

Results
As for the excess energy over the best structure of this formula in the dataset: 0.0 meV/atom. Its space group is P-4m2. The calculated formation energy comes out at -61 kJ per mole of atoms. The crystal system is tetragonal. Its raw total energy is -0.187 hartree per atom.

```
NdSm3Bi2
1.0
-3.601 -0.326 2.896
-0.611 -4.416 -1.258
5.490 -2.620 6.532
Nd Sm Bi
1 3 2
Cartesian
-2.106 -2.371 0.819 Nd
0.133 -1.086 3.749 Sm
3.251 -3.905 3.603 Sm
0.000 0.000 0.000 Sm
1.249 -2.950 1.221 Bi
2.135 -2.041 6.131 Bi
```

=====

# 24
Here is a geometry-optimized BaZr2Sc structure from the Alexandria database. Energies are from PBE-GGA.

Results
As for the excess energy over the best structure of this formula in the dataset: 116.4 meV/atom. Its space group is C2/m. The calculated formation energy comes out at 38 kJ per mole of atoms. The crystal system is monoclinic. Its raw total energy is -0.218 hartree per atom.

```
BaZr2Sc
1.0
5.731 -0.005 0.002
4.805 3.123 0.002
0.549 0.162 6.479
Sc Zr Ba
1 2 1
Cartesian
2.771 0.820 1.621 Sc
5.603 1.658 2.876 Zr
10.476 3.100 0.370 Zr
8.314 2.460 4.862 Ba
```

=====

# 25
Here is a geometry-optimized PdRu2Pt structure from the Alexandria database. Energies are from PBE-GGA.

Results
As for the excess energy over the best structure of this formula in the dataset: 0.0 meV/atom. Its space group is Fm-3m. The calculated formation energy comes out at 41 kJ per mole of atoms. The crystal system is cubic. Its raw total energy is -0.258 hartree per atom.

```
PdRu2Pt
1.0
0.000 3.105 3.105
3.105 0.000 3.105
3.105 3.105 0.000
Pd Pt Ru
1 1 2
Cartesian
0.000 0.000 0.000 Pd
3.105 3.105 3.105 Pt
1.553 1.553 1.553 Ru
4.658 4.658 4.658 Ru
```